The following is a PBE calculation of a geometry-optimized In2PbBr structure, from Alexandria.

Cell and atoms, written as CIF:
```
data_In2PbBr
_chemical_formula_sum 'In2 Pb1 Br1'
_cell_length_a 3.464
_cell_length_b 5.768
_cell_length_c 6.173
_cell_angle_alpha 90.00
_cell_angle_beta 95.63
_cell_angle_gamma 90.00
_space_group_name_H-M_alt 'P 1 m 1'
_space_group_IT_number 6
loop_
_space_group_symop_operation_xyz
'x,y,z'
'x,-y,z'
loop_
_atom_site_label
_atom_site_fract_x
_atom_site_fract_y
_atom_site_fract_z
_atom_site_occupancy
In1 0.000 0.000 0.000 1
In2 0.255 0.500 0.513 1
Pb1 0.496 0.500 0.025 1
Br1 0.874 0.000 0.506 1
```

As for the density of states at the Fermi level: 0.7 states/eV/cell. The value obtained for the formation energy (no corrections) is -213 meV per atom. Its energy above the lowest structure with this stoichiometry is 0.009 eV per atom. The value obtained for the total energy is -2.927 eV per atom. As for the density: 6.99 g cm⁻³. For the magnetization, the calculation gives 0.00 μB/f.u.



The following is a PBE calculation of a geometry-optimized CePrGe2Pt5 structure, from Alexandria.

Cell and atoms, written as CIF:
```
data_CePrGe2Pt5
_chemical_formula_sum 'Ce1 Pr1 Ge2 Pt5'
_cell_length_a 4.392
_cell_length_b 4.392
_cell_length_c 8.979
_cell_angle_alpha 90.00
_cell_angle_beta 90.00
_cell_angle_gamma 90.00
_space_group_name_H-M_alt 'P 4/m m m'
_space_group_IT_number 123
_space_group_name_Hall '-P 4 2'
loop_
_atom_site_label
_atom_site_fract_x
_atom_site_fract_y
_atom_site_fract_z
_atom_site_occupancy
Ce1 0.000 0.000 0.000 1
Pr1 0.000 0.000 0.500 1
Ge1 0.500 0.500 0.139 1
Pt1 0.000 0.500 0.268 1
Pt2 0.500 0.500 0.500 1
```

The calculated formation energy comes out at -852.4 meV per atom. As for the density of states at the Fermi level: 8.3 states/eV/cell. The value obtained for the total energy is -6.425 eV per atom. As for the density: 13.44 g cm⁻³. For the magnetization, the calculation gives 0.82 μB/f.u.



The following is a PBE calculation of a geometry-optimized Ho8Al2Pt structure, from Alexandria.

Cell and atoms, written as CIF:
```
data_Ho8Al2Pt
_chemical_formula_sum 'Ho16 Al4 Pt2'
_cell_length_a 18.607
_cell_length_b 4.978
_cell_length_c 6.568
_cell_angle_alpha 90.00
_cell_angle_beta 103.26
_cell_angle_gamma 90.00
_space_group_name_H-M_alt 'C 1 2/m 1'
_space_group_IT_number 12
loop_
_space_group_symop_operation_xyz
'x,y,z'
'-x,-y,-z'
'-x,y,-z'
'x,-y,z'
'x+1/2,y+1/2,z'
'-x+1/2,-y+1/2,-z'
'-x+1/2,y+1/2,-z'
'x+1/2,-y+1/2,z'
loop_
_atom_site_label
_atom_site_fract_x
_atom_site_fract_y
_atom_site_fract_z
_atom_site_occupancy
Ho1 0.023 0.000 0.278 1
Ho2 0.092 0.500 0.954 1
Ho3 0.151 0.500 0.478 1
Ho4 0.213 0.000 0.811 1
Al1 0.187 0.000 0.255 1
Pt1 0.000 0.500 0.500 1
```

The calculated formation energy comes out at -368.7 meV per atom. As for the density of states at the Fermi level: 22.1 states/eV/cell. The value obtained for the total energy is -4.928 eV per atom. As for the density: 8.80 g cm⁻³. For the magnetization, the calculation gives 0.00 μB/f.u.